(1)
Material: K13Tl2
Method: DFT, PBE-GGA
State: optimized geometry

As for the energy: -1.277 eV per atom. As for the formation energy: -0.010 eV/atom.

The structure belongs to space group P-1 (No. 2); the cell edges are 8.619, 10.266 and 11.682 Å and the angles 66.65°, 89.46° and 78.31°. Symmetry generates all atoms from K at (0.000, 0.000, 0.000), K at (0.049, 0.559, 0.639), K at (0.166, 0.018, 0.650), K at (0.230, 0.582, 0.027), K at (0.291, 0.086, 0.258), K at (0.428, 0.227, 0.861), K at (0.484, 0.343, 0.434) and Tl at (0.202, 0.719, 0.308).

---

(2)
Material: NaTcNiB2
Method: DFT, PBE-GGA
State: optimized geometry

As for the energy: -5.248 eV per atom. As for the formation energy: 0.916 eV/atom.

The structure belongs to space group P4/mmm (No. 123); the cell edges are 4.150, 4.150 and 4.597 Å and the angles 90.00°, 90.00° and 90.00°. Symmetry generates all atoms from Na at (0.000, 0.000, 0.000), Tc at (0.500, 0.500, 0.500), Ni at (0.500, 0.500, 0.000) and B at (0.000, 0.500, 0.500).